VASP calculation (PBE-GGA) on a geometry-optimized Tl2Mo9Se11 structure.

Cell: 13.461 13.461 13.461 Å, 42.45 42.45 42.45°
Atoms (fractional coordinates):
Tl1 0.170 0.170 0.170
Tl2 0.268 0.268 0.268
Tl3 0.732 0.732 0.732
Tl4 0.830 0.830 0.830
Mo1 0.046 0.183 0.864
Mo2 0.136 0.954 0.817
Mo3 0.183 0.864 0.046
Mo4 0.259 0.571 0.391
Mo5 0.306 0.479 0.624
Mo6 0.376 0.694 0.521
Mo7 0.391 0.259 0.571
Mo8 0.429 0.609 0.741
Mo9 0.479 0.624 0.306
Mo10 0.521 0.376 0.694
Mo11 0.571 0.391 0.259
Mo12 0.609 0.741 0.429
Mo13 0.624 0.306 0.479
Mo14 0.694 0.521 0.376
Mo15 0.741 0.429 0.609
Mo16 0.817 0.136 0.954
Mo17 0.864 0.046 0.183
Mo18 0.954 0.817 0.136
Se1 0.006 0.265 0.648
Se2 0.086 0.086 0.086
Se3 0.087 0.442 0.707
Se4 0.166 0.788 0.449
Se5 0.212 0.551 0.834
Se6 0.265 0.648 0.006
Se7 0.293 0.913 0.558
Se8 0.352 0.352 0.352
Se9 0.352 0.994 0.735
Se10 0.442 0.707 0.087
Se11 0.449 0.166 0.788
Se12 0.551 0.834 0.212
Se13 0.558 0.293 0.913
Se14 0.648 0.006 0.265
Se15 0.648 0.648 0.648
Se16 0.707 0.087 0.442
Se17 0.735 0.352 0.994
Se18 0.788 0.449 0.166
Se19 0.834 0.212 0.551
Se20 0.913 0.558 0.293
Se21 0.914 0.914 0.914
Se22 0.994 0.735 0.352

Total DFT energy (no corrections)   -303.8 eV for the cell shown
Space group   R-3, No. 148

=====

VASP calculation (PBE-GGA) on a geometry-optimized Tl3MoSe4 structure.

Cell: 6.835 6.835 6.835 Å, 109.47 109.47 109.47°
Atoms (fractional coordinates):
Tl1 0.000 0.500 0.500
Tl2 0.500 0.000 0.500
Tl3 0.500 0.500 0.000
Mo1 0.000 0.000 0.000
Se1 0.000 0.000 0.348
Se2 0.000 0.348 0.000
Se3 0.348 0.000 0.000
Se4 0.652 0.652 0.652

Total DFT energy (no corrections)   -34.9 eV for the cell shown
Space group   I-43m, No. 217

=====

VASP calculation (PBE-GGA) on a geometry-optimized Tl2Mo15Se19 structure.

Cell: 20.324 20.324 20.324 Å, 27.98 27.98 27.98°
Atoms (fractional coordinates):
Tl1 0.114 0.114 0.114
Tl2 0.386 0.386 0.386
Tl3 0.614 0.614 0.614
Tl4 0.886 0.886 0.886
Mo1 0.001 0.127 0.813
Mo2 0.049 0.361 0.222
Mo3 0.092 0.250 0.408
Mo4 0.127 0.813 0.001
Mo5 0.139 0.451 0.278
Mo6 0.187 0.999 0.873
Mo7 0.222 0.049 0.361
Mo8 0.250 0.408 0.092
Mo9 0.278 0.139 0.451
Mo10 0.313 0.627 0.501
Mo11 0.361 0.222 0.049
Mo12 0.373 0.499 0.687
Mo13 0.408 0.092 0.250
Mo14 0.451 0.278 0.139
Mo15 0.499 0.687 0.373
Mo16 0.501 0.313 0.627
Mo17 0.549 0.722 0.861
Mo18 0.592 0.908 0.750
Mo19 0.627 0.501 0.313
Mo20 0.639 0.778 0.951
Mo21 0.687 0.373 0.499
Mo22 0.722 0.861 0.549
Mo23 0.750 0.592 0.908
Mo24 0.778 0.951 0.639
Mo25 0.813 0.001 0.127
Mo26 0.861 0.549 0.722
Mo27 0.873 0.187 0.999
Mo28 0.908 0.750 0.592
Mo29 0.951 0.639 0.778
Mo30 0.999 0.873 0.187
Se1 0.034 0.688 0.421
Se2 0.054 0.054 0.054
Se3 0.054 0.303 0.693
Se4 0.056 0.444 0.750
Se5 0.079 0.812 0.466
Se6 0.176 0.176 0.176
Se7 0.188 0.534 0.921
Se8 0.193 0.803 0.554
Se9 0.197 0.446 0.807
Se10 0.250 0.944 0.556
Se11 0.303 0.693 0.054
Se12 0.307 0.946 0.697
Se13 0.312 0.579 0.966
Se14 0.324 0.324 0.324
Se15 0.421 0.034 0.688
Se16 0.444 0.750 0.056
Se17 0.446 0.446 0.446
Se18 0.446 0.807 0.197
Se19 0.466 0.079 0.812
Se20 0.534 0.921 0.188
Se21 0.554 0.193 0.803
Se22 0.554 0.554 0.554
Se23 0.556 0.250 0.944
Se24 0.579 0.966 0.312
Se25 0.676 0.676 0.676
Se26 0.688 0.421 0.034
Se27 0.693 0.054 0.303
Se28 0.697 0.307 0.946
Se29 0.750 0.056 0.444
Se30 0.803 0.554 0.193
Se31 0.807 0.197 0.446
Se32 0.812 0.466 0.079
Se33 0.824 0.824 0.824
Se34 0.921 0.188 0.534
Se35 0.944 0.556 0.250
Se36 0.946 0.697 0.307
Se37 0.946 0.946 0.946
Se38 0.966 0.312 0.579

Total DFT energy (no corrections)   -504.5 eV for the cell shown
Space group   R-3c, No. 167

=====

VASP calculation (PBE-GGA) on a geometry-optimized TlMo3Se3 structure.

Cell: 9.068 9.068 4.520 Å, 90.00 90.00 120.00°
Atoms (fractional coordinates):
Tl1 0.333 0.667 0.250
Tl2 0.667 0.333 0.750
Mo1 0.031 0.848 0.250
Mo2 0.152 0.183 0.250
Mo3 0.183 0.031 0.750
Mo4 0.817 0.969 0.250
Mo5 0.848 0.817 0.750
Mo6 0.969 0.152 0.750
Se1 0.064 0.701 0.750
Se2 0.299 0.363 0.750
Se3 0.363 0.064 0.250
Se4 0.637 0.936 0.750
Se5 0.701 0.637 0.250
Se6 0.936 0.299 0.250

Total DFT energy (no corrections)   -97.5 eV for the cell shown
Space group   P6_3/m, No. 176

=====

VASP calculation (PBE-GGA) on a geometry-optimized Zn3MoSe4 structure.

Cell: 5.796 5.796 5.796 Å, 90.00 90.00 90.00°
Atoms (fractional coordinates):
Zn1 0.000 0.000 0.500
Zn2 0.000 0.500 0.000
Zn3 0.500 0.000 0.000
Mo1 0.500 0.500 0.500
Se1 0.250 0.250 0.750
Se2 0.250 0.750 0.250
Se3 0.750 0.250 0.250
Se4 0.750 0.750 0.750

Total DFT energy (no corrections)   -30.7 eV for the cell shown
Space group   P-43m, No. 215

=====

VASP calculation (PBE-GGA) on a geometry-optimized Si2Mo structure.

Cell: 7.651 7.651 7.651 Å, 60.00 60.00 60.00°
Atoms (fractional coordinates):
Si1 0.000 0.000 0.000
Si2 0.000 0.000 0.500
Si3 0.000 0.500 0.000
Si4 0.500 0.000 0.000
Mo1 0.125 0.125 0.125
Mo2 0.875 0.875 0.875

Total DFT energy (no corrections)   -34.8 eV for the cell shown
Space group   Fd-3m, No. 227

=====

VASP calculation (PBE-GGA) on a geometry-optimized SiMo structure.

Cell: 3.209 3.209 6.636 Å, 90.00 90.00 120.00°
Atoms (fractional coordinates):
Si1 0.333 0.667 0.250
Si2 0.667 0.333 0.750
Mo1 0.000 0.000 0.000
Mo2 0.000 0.000 0.500

Total DFT energy (no corrections)   -33.7 eV for the cell shown
Space group   P6_3/mmc, No. 194

=====

VASP calculation (PBE-GGA) on a geometry-optimized Si2Mo structure.

Cell: 4.834 4.834 4.834 Å, 60.00 60.00 60.00°
Atoms (fractional coordinates):
Si1 0.000 0.000 0.000
Si2 0.000 0.000 0.500
Si3 0.000 0.500 0.000
Si4 0.500 0.000 0.000
Mo1 0.375 0.375 0.375
Mo2 0.625 0.625 0.625

Total DFT energy (no corrections)   -41.3 eV for the cell shown
Space group   Fd-3m, No. 227

=====

VASP calculation (PBE-GGA) on a geometry-optimized SiMo structure.

Cell: 3.543 3.543 3.543 Å, 60.00 60.00 60.00°
Atoms (fractional coordinates):
Si1 0.000 0.000 0.000
Mo1 0.500 0.500 0.500

Total DFT energy (no corrections)   -15.8 eV for the cell shown
Space group   Fm-3m, No. 225

=====

VASP calculation (PBE-GGA) on a geometry-optimized Sm2Si3Mo2 structure.

Cell: 5.715 5.715 7.550 Å, 112.92 112.92 43.50°
Atoms (fractional coordinates):
Sm1 0.084 0.084 0.313
Sm2 0.916 0.916 0.687
Si1 0.227 0.227 0.735
Si2 0.500 0.500 0.000
Si3 0.773 0.773 0.265
Mo1 0.316 0.316 0.103
Mo2 0.684 0.684 0.897

Total DFT energy (no corrections)   -49.2 eV for the cell shown
Space group   C2/m, No. 12

=====

VASP calculation (PBE-GGA) on a geometry-optimized SiSn2Mo2 structure.

Cell: 7.351 7.351 7.351 Å, 150.03 150.03 42.90°
Atoms (fractional coordinates):
Si1 0.000 0.000 0.000
Sn1 0.250 0.750 0.500
Sn2 0.750 0.250 0.500
Mo1 0.407 0.407 0.000
Mo2 0.593 0.593 0.000

Total DFT energy (no corrections)   -31.6 eV for the cell shown
Space group   I4/mmm, No. 139

=====

VASP calculation (PBE-GGA) on a geometry-optimized Si2SnMo structure.

Cell: 4.595 4.595 4.595 Å, 60.00 60.00 60.00°
Atoms (fractional coordinates):
Si1 0.000 0.000 0.000
Si2 0.250 0.250 0.250
Sn1 0.500 0.500 0.500
Mo1 0.750 0.750 0.750

Total DFT energy (no corrections)   -23.0 eV for the cell shown
Space group   F-43m, No. 216

=====

VASP calculation (PBE-GGA) on a geometry-optimized SiSn2Mo structure.

Cell: 4.813 4.813 4.813 Å, 60.00 60.00 60.00°
Atoms (fractional coordinates):
Si1 0.000 0.000 0.000
Sn1 0.500 0.500 0.500
Sn2 0.750 0.750 0.750
Mo1 0.250 0.250 0.250

Total DFT energy (no corrections)   -21.5 eV for the cell shown
Space group   F-43m, No. 216

=====

VASP calculation (PBE-GGA) on a geometry-optimized Sr2Si2Mo structure.

Cell: 6.056 6.056 12.639 Å, 90.00 90.00 143.34°
Atoms (fractional coordinates):
Sr1 0.138 0.862 0.601
Sr2 0.138 0.862 0.899
Sr3 0.862 0.138 0.101
Sr4 0.862 0.138 0.399
Si1 0.151 0.849 0.152
Si2 0.151 0.849 0.348
Si3 0.849 0.151 0.652
Si4 0.849 0.151 0.848
Mo1 0.436 0.564 0.750
Mo2 0.564 0.436 0.250

Total DFT energy (no corrections)   -49.3 eV for the cell shown
Space group   Cmcm, No. 63

=====

VASP calculation (PBE-GGA) on a geometry-optimized TaSiMo structure.

Cell: 6.952 6.952 3.321 Å, 90.00 90.00 120.00°
Atoms (fractional coordinates):
Ta1 0.000 0.599 0.000
Ta2 0.401 0.401 0.000
Ta3 0.599 0.000 0.000
Si1 0.000 0.000 0.000
Si2 0.333 0.667 0.500
Si3 0.667 0.333 0.500
Mo1 0.000 0.259 0.500
Mo2 0.259 0.000 0.500
Mo3 0.741 0.741 0.500

Total DFT energy (no corrections)   -89.2 eV for the cell shown
Space group   P-62m, No. 189

=====

VASP calculation (PBE-GGA) on a geometry-optimized Ta2Si2Mo structure.

Cell: 6.287 6.287 6.287 Å, 144.39 144.39 51.24°
Atoms (fractional coordinates):
Ta1 0.250 0.750 0.500
Ta2 0.750 0.250 0.500
Si1 0.097 0.097 0.000
Si2 0.903 0.903 0.000
Mo1 0.500 0.500 0.000

Total DFT energy (no corrections)   -44.4 eV for the cell shown
Space group   I4/mmm, No. 139

=====

VASP calculation (PBE-GGA) on a geometry-optimized TaSiMo2 structure.

Cell: 4.447 4.447 4.447 Å, 60.00 60.00 60.00°
Atoms (fractional coordinates):
Ta1 0.000 0.000 0.000
Si1 0.750 0.750 0.750
Mo1 0.250 0.250 0.250
Mo2 0.500 0.500 0.500

Total DFT energy (no corrections)   -39.1 eV for the cell shown
Space group   F-43m, No. 216

=====

VASP calculation (PBE-GGA) on a geometry-optimized TaSiMo structure.

Cell: 4.203 4.203 4.203 Å, 60.00 60.00 60.00°
Atoms (fractional coordinates):
Ta1 0.000 0.000 0.000
Si1 0.750 0.750 0.750
Mo1 0.500 0.500 0.500

Total DFT energy (no corrections)   -27.6 eV for the cell shown
Space group   F-43m, No. 216

=====

VASP calculation (PBE-GGA) on a geometry-optimized TbSiMo structure.

Cell: 4.472 4.472 4.472 Å, 60.00 60.00 60.00°
Atoms (fractional coordinates):
Tb1 0.000 0.000 0.000
Si1 0.750 0.750 0.750
Mo1 0.500 0.500 0.500

Total DFT energy (no corrections)   -20.7 eV for the cell shown
Space group   F-43m, No. 216

=====

VASP calculation (PBE-GGA) on a geometry-optimized Si4TcMo structure.

Cell: 3.199 3.199 7.844 Å, 90.00 90.00 90.00°
Atoms (fractional coordinates):
Si1 0.000 0.000 0.166
Si2 0.000 0.000 0.834
Si3 0.500 0.500 0.333
Si4 0.500 0.500 0.667
Tc1 0.500 0.500 0.000
Mo1 0.000 0.000 0.500

Total DFT energy (no corrections)   -45.6 eV for the cell shown
Space group   P4/mmm, No. 123